# LaSeSBr2 | the Alexandria database | PBE | optimized geometry
data_LaSeSBr2
_cell_length_a 5.2050
_cell_length_b 5.2050
_cell_length_c 4.9996
_cell_angle_alpha 90.00
_cell_angle_beta 90.00
_cell_angle_gamma 90.00
_symmetry_space_group_name_H-M 'P 4/m m m'
_symmetry_Int_Tables_number 123
_symmetry_space_group_name_Hall '-P 4 2'
loop_
_atom_site_label
_atom_site_type_symbol
_atom_site_fract_x
_atom_site_fract_y
_atom_site_fract_z
La1 La 0.0000 0.0000 0.0000
Se1 Se 0.5000 0.5000 0.0000
S1 S 0.5000 0.5000 0.5000
Br1 Br 0.0000 0.5000 0.5000
# Relative energy among the computed polymorphs ... 0.100 eV per atom
# Crystal system ... tetragonal
# Energy relative to the elements, uncorrected ... -0.4601 eV/atom
# Total moment ... 0.416 μB/f.u.
# E_tot ... -3.64 eV/atom

***

# La4SeS2Br | the Alexandria database | PBE | optimized geometry
data_La4SeS2Br
_cell_length_a 7.2892
_cell_length_b 4.2226
_cell_length_c 7.4521
_cell_angle_alpha 90.00
_cell_angle_beta 109.17
_cell_angle_gamma 90.00
_symmetry_space_group_name_H-M 'P 1 2/m 1'
_symmetry_Int_Tables_number 10
loop_
_symmetry_equiv_pos_as_xyz
'x,y,z'
'-x,-y,-z'
'-x,y,-z'
'x,-y,z'
loop_
_atom_site_label
_atom_site_type_symbol
_atom_site_fract_x
_atom_site_fract_y
_atom_site_fract_z
La1 La 0.2308 0.0000 0.2196
La2 La 0.2485 0.5000 0.7741
Se1 Se 0.0000 0.0000 0.5000
S1 S 0.0000 0.5000 0.0000
S2 S 0.5000 0.0000 0.0000
Br1 Br 0.5000 0.5000 0.5000
# Crystal system ... monoclinic
# Energy relative to the elements, uncorrected ... -1.9234 eV/atom
# Total moment ... 0.000 μB/f.u.
# E_tot ... -6.06 eV/atom

***

# LaSeSBr2 | the Alexandria database | PBE | optimized geometry
data_LaSeSBr2
_cell_length_a 5.8148
_cell_length_b 5.8148
_cell_length_c 6.0130
_cell_angle_alpha 90.00
_cell_angle_beta 90.00
_cell_angle_gamma 90.00
_symmetry_space_group_name_H-M 'P 4/m m m'
_symmetry_Int_Tables_number 123
_symmetry_space_group_name_Hall '-P 4 2'
loop_
_atom_site_label
_atom_site_type_symbol
_atom_site_fract_x
_atom_site_fract_y
_atom_site_fract_z
La1 La 0.0000 0.0000 0.0000
Se1 Se 0.0000 0.0000 0.5000
S1 S 0.5000 0.5000 0.5000
Br1 Br 0.0000 0.5000 0.0000
# Relative energy among the computed polymorphs ... 0.000 eV per atom
# Crystal system ... tetragonal
# Energy relative to the elements, uncorrected ... -0.5597 eV/atom
# Total moment ... 3.005 μB/f.u.
# E_tot ... -3.74 eV/atom

***

# La4SeSBr2 | the Alexandria database | PBE | optimized geometry
data_La4SeSBr2
_cell_length_a 7.3343
_cell_length_b 4.2544
_cell_length_c 7.6234
_cell_angle_alpha 90.00
_cell_angle_beta 108.91
_cell_angle_gamma 90.00
_symmetry_space_group_name_H-M 'P 1 2/m 1'
_symmetry_Int_Tables_number 10
loop_
_symmetry_equiv_pos_as_xyz
'x,y,z'
'-x,-y,-z'
'-x,y,-z'
'x,-y,z'
loop_
_atom_site_label
_atom_site_type_symbol
_atom_site_fract_x
_atom_site_fract_y
_atom_site_fract_z
La1 La 0.2268 0.0000 0.2166
La2 La 0.2458 0.5000 0.7763
Se1 Se 0.5000 0.0000 0.0000
S1 S 0.0000 0.5000 0.0000
Br1 Br 0.0000 0.0000 0.5000
Br2 Br 0.5000 0.5000 0.5000
# Crystal system ... monoclinic
# Energy relative to the elements, uncorrected ... -1.6914 eV/atom
# Total moment ... 0.000 μB/f.u.
# E_tot ... -5.52 eV/atom

***

# La4SiSBr2 | the Alexandria database | PBE | optimized geometry
data_La4SiSBr2
_cell_length_a 7.3392
_cell_length_b 4.3035
_cell_length_c 7.8017
_cell_angle_alpha 90.00
_cell_angle_beta 108.87
_cell_angle_gamma 90.00
_symmetry_space_group_name_H-M 'P 1 2/m 1'
_symmetry_Int_Tables_number 10
loop_
_symmetry_equiv_pos_as_xyz
'x,y,z'
'-x,-y,-z'
'-x,y,-z'
'x,-y,z'
loop_
_atom_site_label
_atom_site_type_symbol
_atom_site_fract_x
_atom_site_fract_y
_atom_site_fract_z
La1 La 0.2314 0.0000 0.2077
La2 La 0.2567 0.5000 0.7878
Si1 Si 0.5000 0.0000 0.0000
S1 S 0.0000 0.5000 0.0000
Br1 Br 0.0000 0.0000 0.5000
Br2 Br 0.5000 0.5000 0.5000
# Crystal system ... monoclinic
# Energy relative to the elements, uncorrected ... -1.4753 eV/atom
# Total moment ... 0.000 μB/f.u.
# E_tot ... -5.55 eV/atom

***

# La6Si2SBr3 | the Alexandria database | PBE | optimized geometry
data_La6Si2SBr3
_cell_length_a 7.4359
_cell_length_b 12.8850
_cell_length_c 7.8363
_cell_angle_alpha 90.00
_cell_angle_beta 108.47
_cell_angle_gamma 90.00
_symmetry_space_group_name_H-M 'C 1 2/m 1'
_symmetry_Int_Tables_number 12
loop_
_symmetry_equiv_pos_as_xyz
'x,y,z'
'-x,-y,-z'
'-x,y,-z'
'x,-y,z'
'x+1/2,y+1/2,z'
'-x+1/2,-y+1/2,-z'
'-x+1/2,y+1/2,-z'
'x+1/2,-y+1/2,z'
loop_
_atom_site_label
_atom_site_type_symbol
_atom_site_fract_x
_atom_site_fract_y
_atom_site_fract_z
La1 La 0.2357 0.1654 0.2114
La2 La 0.2404 0.5000 0.2122
Si1 Si 0.0000 0.3338 0.0000
S1 S 0.0000 0.0000 0.0000
Br1 Br 0.0000 0.1705 0.5000
Br2 Br 0.0000 0.5000 0.5000
# Crystal system ... monoclinic
# Energy relative to the elements, uncorrected ... -1.3754 eV/atom
# Total moment ... 0.000 μB/f.u.
# E_tot ... -5.51 eV/atom

***

# La8Si3SBr4 | the Alexandria database | PBE | optimized geometry
data_La8Si3SBr4
_cell_length_a 8.6243
_cell_length_b 8.6264
_cell_length_c 8.9507
_cell_angle_alpha 61.24
_cell_angle_beta 61.37
_cell_angle_gamma 60.08
_symmetry_space_group_name_H-M 'P -1'
_symmetry_Int_Tables_number 2
loop_
_symmetry_equiv_pos_as_xyz
'x,y,z'
'-x,-y,-z'
loop_
_atom_site_label
_atom_site_type_symbol
_atom_site_fract_x
_atom_site_fract_y
_atom_site_fract_z
La1 La 0.2351 0.2400 0.2894
La2 La 0.2360 0.7363 0.2886
La3 La 0.2610 0.2646 0.7101
La4 La 0.2627 0.7609 0.7150
Si1 Si 0.0000 0.0000 0.5000
Si2 Si 0.5000 0.0000 0.5000
Si3 Si 0.5000 0.5000 0.5000
S1 S 0.0000 0.5000 0.5000
Br1 Br 0.0000 0.0000 0.0000
Br2 Br 0.0000 0.5000 0.0000
Br3 Br 0.5000 0.0000 0.0000
Br4 Br 0.5000 0.5000 0.0000
# Crystal system ... triclinic
# Energy relative to the elements, uncorrected ... -1.3264 eV/atom
# Total moment ... 0.000 μB/f.u.
# E_tot ... -5.48 eV/atom

***

# La6SiS2Br3 | the Alexandria database | PBE | optimized geometry
data_La6SiS2Br3
_cell_length_a 19.1969
_cell_length_b 4.2666
_cell_length_c 8.7825
_cell_angle_alpha 90.00
_cell_angle_beta 107.50
_cell_angle_gamma 90.00
_symmetry_space_group_name_H-M 'C 1 2/m 1'
_symmetry_Int_Tables_number 12
loop_
_symmetry_equiv_pos_as_xyz
'x,y,z'
'-x,-y,-z'
'-x,y,-z'
'x,-y,z'
'x+1/2,y+1/2,z'
'-x+1/2,-y+1/2,-z'
'-x+1/2,y+1/2,-z'
'x+1/2,-y+1/2,z'
loop_
_atom_site_label
_atom_site_type_symbol
_atom_site_fract_x
_atom_site_fract_y
_atom_site_fract_z
La1 La 0.0117 0.0000 0.2349
La2 La 0.1601 0.5000 0.1115
La3 La 0.1757 0.5000 0.5594
Si1 Si 0.0000 0.5000 0.0000
S1 S 0.1686 0.0000 0.3366
Br1 Br 0.0000 0.5000 0.5000
Br2 Br 0.1638 0.0000 0.8329
# Crystal system ... monoclinic
# Energy relative to the elements, uncorrected ... -1.5657 eV/atom
# Total moment ... 0.000 μB/f.u.
# E_tot ... -5.59 eV/atom